This record from Alexandria describes MnCoPIrF after structural relaxation. The functional is GGA+U.

Cell: 4.0109 2.6438 6.8541 Å, 90.00 93.36 90.00°
Last column: nearest neighbours and their distance in Å.
Sites, in units of the cell vectors:
1 Mn 0.0000 0.0000 0.0000  2 Mn 2.64, 1 Co 2.70, 2 P 2.80, 4 Ir 2.82-2.85, 2 F 2.96
2 Co 0.0298 0.0000 0.3943  2 P 2.22
3 P 0.1250 0.5000 0.6521  1 F 1.66
4 Ir 0.5267 0.5000 0.2200  4 Co 2.64-2.73, 2 Ir 2.64, 4 Mn 2.82-2.85
5 F 0.5339 0.5000 0.7103  1 P 1.66

Results
E_tot = -29.505 eV per cell
ρ = 8.149 g/cm3
SG = Pm (6)
V = 73 Å³/cell
DOS at the Fermi energy = 0.2291 states/eV per atom